1.
Here is a geometry-optimized BaEr2AgSe4 structure from Alexandria via LeMat-Bulk. Energies are from PBE-GGA.

Summary:
energy relative to the elements, uncorrected: -1.526 eV/atom
VASP energy: -5.01 eV per atom

a = 4.2627 Å, b = 7.2898 Å, c = 14.4151 Å
α = 90.00°, β = 90.00°, γ = 107.00°
Sites, in units of the cell vectors:
Ba (0.1310, 0.2619, 0.7500)
Ba (0.8690, 0.7381, 0.2500)
Er (0.3771, 0.7542, 0.5601)
Er (0.6229, 0.2458, 0.0601)
Er (0.6229, 0.2458, 0.4399)
Er (0.3771, 0.7542, 0.9399)
Ag (0.8528, 0.7057, 0.7500)
Ag (0.1472, 0.2943, 0.2500)
Se (0.2651, 0.5302, 0.1060)
Se (0.7349, 0.4698, 0.6060)
Se (0.7349, 0.4698, 0.8940)
Se (0.2651, 0.5302, 0.3940)
Se (0.0000, 0.0000, 0.5000)
Se (0.0000, 0.0000, 0.0000)
Se (0.4573, 0.9146, 0.7500)
Se (0.5427, 0.0854, 0.2500)

2.
Here is a geometry-optimized OsPb2Se structure from Alexandria via LeMat-Bulk. Energies are from PBE-GGA.

Summary:
energy relative to the elements, uncorrected: 0.713 eV/atom
VASP energy: -4.82 eV per atom

a = 5.1702 Å, b = 5.1702 Å, c = 3.4945 Å
α = 82.70°, β = 82.70°, γ = 101.17°
Sites, in units of the cell vectors:
Os (0.0000, 0.5000, 0.5000)
Pb (0.0000, 0.0000, 0.0000)
Pb (0.5000, 0.5000, 0.0000)
Se (0.5000, 0.0000, 0.5000)

3.
Here is a geometry-optimized CdTc2W structure from Alexandria via LeMat-Bulk. Energies are from PBE-GGA.

Summary:
E_form: 1.02 eV/f.u.
VASP energy: -8.40 eV per atom

a = 3.1243 Å, b = 3.1243 Å, c = 6.7999 Å
α = 90.00°, β = 90.00°, γ = 90.00°
Sites, in units of the cell vectors:
Cd (0.5000, 0.5000, 0.7500)
Tc (0.0000, 0.0000, 0.0314)
Tc (0.0000, 0.0000, 0.4686)
W (0.5000, 0.5000, 0.2500)

4.
Here is a geometry-optimized SrHgP2 structure from Alexandria via LeMat-Bulk. Energies are from PBE-GGA.

Summary:
E_form: -0.10 eV/f.u.
VASP energy: -3.23 eV per atom

a = 5.5473 Å, b = 5.5473 Å, c = 5.5473 Å
α = 132.25°, β = 132.25°, γ = 69.83°
Sites, in units of the cell vectors:
Hg (0.7500, 0.2500, 0.5000)
P (0.0000, 0.0000, 0.0000)
P (0.5000, 0.5000, 0.0000)
Sr (0.2500, 0.7500, 0.5000)

5.
Here is a geometry-optimized Er3CdRh4 structure from Alexandria via LeMat-Bulk. Energies are from PBE-GGA.

Summary:
E_form: -6.41 eV/f.u.
VASP energy: -6.30 eV per atom

a = 4.7379 Å, b = 4.7379 Å, c = 8.1744 Å
α = 73.15°, β = 73.15°, γ = 60.00°
Sites, in units of the cell vectors:
Cd (0.0000, 0.0000, 0.0000)
Rh (0.8744, 0.8744, 0.3768)
Rh (0.3779, 0.3779, 0.8663)
Rh (0.1256, 0.1256, 0.6232)
Rh (0.6221, 0.6221, 0.1337)
Er (0.2559, 0.2559, 0.2324)
Er (0.7441, 0.7441, 0.7676)
Er (0.5000, 0.5000, 0.5000)

6.
Here is a geometry-optimized RbZrRe2Mo structure from Alexandria via LeMat-Bulk. Energies are from PBE-GGA.

Summary:
E_form: 8.47 eV/f.u.
VASP energy: -7.36 eV per atom

a = 4.9040 Å, b = 5.1459 Å, c = 4.9040 Å
α = 90.00°, β = 90.00°, γ = 90.00°
Site moments in Bohr magnetons follow the coordinates.
Sites, in units of the cell vectors:
Re (0.0000, 0.0000, 0.5000)  1.06
Re (0.5000, 0.0000, 0.0000)  1.02
Mo (0.0000, 0.0000, 0.0000)  -0.13
Rb (0.5000, 0.5000, 0.5000)  0.02
Zr (0.0000, 0.5000, 0.0000)  -0.09

7.
Here is a geometry-optimized Na3YBi2S6 structure from Alexandria via LeMat-Bulk. Energies are from PBE-GGA.

Summary:
energy relative to the elements, uncorrected: -1.117 eV/atom
VASP energy: -4.70 eV per atom

a = 7.0188 Å, b = 7.0188 Å, c = 7.1397 Å
α = 99.43°, β = 99.43°, γ = 120.02°
Sites, in units of the cell vectors:
Na (0.1713, 0.8287, 0.5000)
Na (0.8287, 0.1713, 0.5000)
Na (0.5000, 0.5000, 0.5000)
Y (0.0000, 0.0000, 0.0000)
Bi (0.3339, 0.6661, 0.0000)
Bi (0.6661, 0.3339, 0.0000)
S (0.9223, 0.5966, 0.7671)
S (0.7520, 0.7520, 0.2332)
S (0.0777, 0.4034, 0.2329)
S (0.5966, 0.9223, 0.7671)
S (0.2480, 0.2480, 0.7668)
S (0.4034, 0.0777, 0.2329)

8.
Here is a geometry-optimized Sr2Ti2Be structure from Alexandria via LeMat-Bulk. Energies are from PBE-GGA.

Summary:
E_form: 5.82 eV/f.u.
VASP energy: -3.41 eV per atom

a = 9.5294 Å, b = 9.5294 Å, c = 3.4984 Å
α = 90.00°, β = 90.00°, γ = 90.00°
Site moments in Bohr magnetons follow the coordinates.
Sites, in units of the cell vectors:
Sr (0.2968, 0.7968, 0.0000)  0.03
Sr (0.7968, 0.7032, 0.0000)  0.02
Sr (0.7032, 0.2032, 0.0000)  0.03
Sr (0.2032, 0.2968, 0.0000)  0.02
Be (0.0000, 0.0000, 0.0000)  0.01
Be (0.5000, 0.5000, 0.0000)  0.01
Ti (0.0797, 0.5797, 0.5000)  0.87
Ti (0.5797, 0.9203, 0.5000)  0.92
Ti (0.9203, 0.4203, 0.5000)  0.87
Ti (0.4203, 0.0797, 0.5000)  0.92

9.
Here is a geometry-optimized P2AuF2 structure from Alexandria via LeMat-Bulk. Energies are from PBE-GGA.

Summary:
energy relative to the elements, uncorrected: -0.837 eV/atom
VASP energy: -4.40 eV per atom

a = 6.2549 Å, b = 6.2549 Å, c = 4.0199 Å
α = 90.00°, β = 90.00°, γ = 90.00°
Sites, in units of the cell vectors:
P (0.3702, 0.8702, 0.0000)
P (0.8702, 0.6298, 0.0000)
P (0.6298, 0.1298, 0.0000)
P (0.1298, 0.3702, 0.0000)
Au (0.0000, 0.0000, 0.0000)
Au (0.5000, 0.5000, 0.0000)
F (0.3569, 0.8569, 0.5000)
F (0.8569, 0.6431, 0.5000)
F (0.6431, 0.1431, 0.5000)
F (0.1431, 0.3569, 0.5000)

10.
Here is a geometry-optimized Li2CuSbAu5 structure from Alexandria via LeMat-Bulk. Energies are from PBE-GGA.

Summary:
energy relative to the elements, uncorrected: -0.095 eV/atom
VASP energy: -3.25 eV per atom

a = 7.6182 Å, b = 7.6182 Å, c = 7.7648 Å
α = 119.38°, β = 119.38°, γ = 90.00°
Sites, in units of the cell vectors:
Li (0.1085, 0.3915, 0.0000)
Li (0.6085, 0.1085, 0.0000)
Li (0.3915, 0.8915, 0.0000)
Li (0.8915, 0.6085, 0.0000)
Cu (0.2500, 0.7500, 0.5000)
Cu (0.7500, 0.2500, 0.5000)
Sb (0.2500, 0.2500, 0.5000)
Sb (0.7500, 0.7500, 0.5000)
Au (0.9293, 0.4293, 0.2555)
Au (0.6738, 0.1738, 0.7445)
Au (0.0707, 0.5707, 0.7445)
Au (0.1738, 0.0707, 0.7445)
Au (0.5707, 0.6738, 0.7445)
Au (0.8262, 0.9293, 0.2555)
Au (0.4293, 0.3262, 0.2555)
Au (0.3262, 0.8262, 0.2555)
Au (0.5000, 0.5000, 0.0000)
Au (0.0000, 0.0000, 0.0000)

11.
Here is a geometry-optimized Tm4CoSe3 structure from Alexandria via LeMat-Bulk. Energies are from PBE-GGA.

Summary:
energy relative to the elements, uncorrected: -1.301 eV/atom
VASP energy: -5.73 eV per atom

a = 3.8884 Å, b = 7.0548 Å, c = 7.0548 Å
α = 108.09°, β = 90.00°, γ = 90.00°
Sites, in units of the cell vectors:
Tm (0.0000, 0.2194, 0.2194)
Tm (0.5000, 0.7679, 0.2321)
Tm (0.0000, 0.7806, 0.7806)
Tm (0.5000, 0.2321, 0.7679)
Co (0.5000, 0.0000, 0.0000)
Se (0.0000, 0.0000, 0.5000)
Se (0.5000, 0.5000, 0.5000)
Se (0.0000, 0.5000, 0.0000)

12.
Here is a geometry-optimized MnGeCSe structure from Alexandria via LeMat-Bulk. Energies are from PBE-GGA.

Summary:
energy relative to the elements, uncorrected: 0.356 eV/atom
VASP energy: -6.27 eV per atom

a = 3.2137 Å, b = 3.2139 Å, c = 7.8156 Å
α = 100.08°, β = 91.45°, γ = 119.99°
Sites, in units of the cell vectors:
Ge (0.1262, 0.4644, 0.1291)
Mn (0.7006, 0.6442, 0.8765)
C (0.3878, 0.0116, 0.9325)
Se (0.9487, 0.1691, 0.6435)